Computed, not measured: a relaxed structure of Ta3Ir5 at the GGA-PBEsol level of DFT.

Density of states at the Fermi level (states/eV/f.u.): 6.28
Calculated volume (Å³ per atom): 15.21
Energy relative to the elements (eV/f.u.): -4.8

Unit cell a=7.718 b=7.989 c=3.946 alpha=90.00 beta=90.00 gamma=90.00
Space group Cmmm (No. 65)
Symmetry-distinct sites (fractional):
Ta  0.000  0.000  0.000
Ta  0.000  0.269  0.500
Ir  0.000  0.500  0.000
Ir  0.243  0.000  0.500
Ir  0.250  0.250  0.000

Computed, not measured: a relaxed structure of ZrBe2Ag at the GGA-PBEsol level of DFT.

Density of states at the Fermi level (states/eV/f.u.): 2.37
Calculated volume (Å³ per atom): 13.53
Energy relative to the elements (eV/f.u.): 0.1

Unit cell a=2.813 b=2.813 c=6.839 alpha=90.00 beta=90.00 gamma=90.00
Space group P4mm (No. 99)
Symmetry-distinct sites (fractional):
Zr  0.000  0.000  0.000
Be  0.000  0.000  0.578
Be  0.500  0.500  0.728
Ag  0.500  0.500  0.347

Computed, not measured: a relaxed structure of AlGa3Ir at the GGA-PBEsol level of DFT.

Density of states at the Fermi level (states/eV/f.u.): 2.46
Calculated volume (Å³ per atom): 21.54
Energy relative to the elements (eV/f.u.): 0.4

Unit cell a=4.758 b=4.758 c=4.758 alpha=90.00 beta=90.00 gamma=90.00
Space group Pm-3m (No. 221)
Symmetry-distinct sites (fractional):
Al  0.000  0.000  0.000
Ga  0.000  0.500  0.500
Ir  0.500  0.500  0.500

Repeat the third record exactly.
Computed, not measured: a relaxed structure of AlGa3Ir at the GGA-PBEsol level of DFT.

Density of states at the Fermi level (states/eV/f.u.): 2.46
Calculated volume (Å³ per atom): 21.54
Energy relative to the elements (eV/f.u.): 0.4

Unit cell a=4.758 b=4.758 c=4.758 alpha=90.00 beta=90.00 gamma=90.00
Space group Pm-3m (No. 221)
Symmetry-distinct sites (fractional):
Al  0.000  0.000  0.000
Ga  0.000  0.500  0.500
Ir  0.500  0.500  0.500

Question: Which value of energy relative to the elements does entry 1 give?
Answer: -4.8 eV/f.u.

What did the second record say?
Computed, not measured: a relaxed structure of ZrBe2Ag at the GGA-PBEsol level of DFT.

Density of states at the Fermi level (states/eV/f.u.): 2.37
Calculated volume (Å³ per atom): 13.53
Energy relative to the elements (eV/f.u.): 0.1

Unit cell a=2.813 b=2.813 c=6.839 alpha=90.00 beta=90.00 gamma=90.00
Space group P4mm (No. 99)
Symmetry-distinct sites (fractional):
Zr  0.000  0.000  0.000
Be  0.000  0.000  0.578
Be  0.500  0.500  0.728
Ag  0.500  0.500  0.347